# Ce4YTl5 | Alexandria | PBE-GGA | optimized geometry
# E_form: -267 meV/atom
data_Ce4YTl5
_chemical_formula_sum 'Ce4 Y1 Tl5'
_cell_length_a 3.500
_cell_length_b 3.500
_cell_length_c 23.075
_cell_angle_alpha 90.00
_cell_angle_beta 90.00
_cell_angle_gamma 90.00
_space_group_name_H-M_alt 'P 4/m m m'
_space_group_IT_number 123
_space_group_name_Hall '-P 4 2'
loop_
_atom_site_label
_atom_site_type_symbol
_atom_site_fract_x
_atom_site_fract_y
_atom_site_fract_z
Ce1 Ce 0.000 0.000 0.101
Ce2 Ce 0.000 0.000 0.304
Y1 Y 0.000 0.000 0.500
Tl1 Tl 0.500 0.500 0.000
Tl2 Tl 0.500 0.500 0.202
Tl3 Tl 0.500 0.500 0.404

---

# Th2Co3Ge4Ir | Alexandria | PBE-GGA | optimized geometry
# E_form: -672 meV/atom
data_Th2Co3Ge4Ir
_chemical_formula_sum 'Th2 Co3 Ge4 Ir1'
_cell_length_a 4.155
_cell_length_b 4.155
_cell_length_c 9.865
_cell_angle_alpha 90.00
_cell_angle_beta 90.00
_cell_angle_gamma 90.00
_space_group_name_H-M_alt 'P -4 m 2'
_space_group_IT_number 115
loop_
_space_group_symop_operation_xyz
'x,y,z'
'y,-x,-z'
'-x,-y,z'
'-y,x,-z'
'-x,y,z'
'-y,-x,-z'
'x,-y,z'
'y,x,-z'
loop_
_atom_site_label
_atom_site_type_symbol
_atom_site_fract_x
_atom_site_fract_y
_atom_site_fract_z
Th1 Th 0.000 0.500 0.244
Co1 Co 0.000 0.500 0.876
Co2 Co 0.500 0.500 0.500
Ge1 Ge 0.000 0.000 0.000
Ge2 Ge 0.000 0.500 0.638
Ge3 Ge 0.500 0.500 0.000
Ir1 Ir 0.000 0.000 0.500

---

> E_form of number 1 (Ce4YTl5)?

-267 meV/atom